! Cd2ReIr (GGA-PBE, relaxed); values from VASP
&SYSTEM
  ibrav = 0, nat = 4, ntyp = 3
/
ATOMIC_SPECIES
Cd 112.41 Cd.upf
Re 186.21 Re.upf
Ir 192.22 Ir.upf
CELL_PARAMETERS angstrom
2.875 0.000 0.000
0.000 2.875 0.000
0.000 0.000 8.508
ATOMIC_POSITIONS angstrom
Cd 0.000 0.000 0.000
Cd 1.438 1.438 2.524
Re 1.438 1.438 6.330
Ir 0.000 0.000 4.674
! Formation energy ... 0.10 eV/atom
! Energy relative to the lowest polymorph listed for this composition ... 0.0000 eV/atom
! Space group ... P4mm